Record 1
First-principles (PBE) data for a geometry-optimized CaIrS2N structure, as listed in Alexandria.

Structure (POSCAR):
```
CaIrS2N
1.0
-1.845 -3.345 3.190
-2.119 -2.441 -3.784
3.046 -2.047 -0.385
S N Ir Ca
2 1 1 1
Cartesian
-1.059 -1.221 -1.892
-0.922 -1.672 1.595
1.523 -1.023 -0.192
0.000 0.000 0.000
-0.459 -3.916 -0.489
```

Values from the calculation:
energy relative to the lowest polymorph listed for this composition = 0 meV/atom

---

Record 2
First-principles (PBE) data for a geometry-optimized CaIrS2N structure, as listed in Alexandria.

Structure (POSCAR):
```
CaIrS2N
1.0
5.060 0.000 0.000
0.000 5.060 0.000
0.000 0.000 4.023
N S Ca Ir
1 2 1 1
Cartesian
0.000 0.000 2.012
0.000 2.530 0.000
2.530 0.000 0.000
0.000 0.000 0.000
2.530 2.530 2.012
```

Values from the calculation:
energy relative to the lowest polymorph listed for this composition = 2162 meV/atom

---

Record 3
First-principles (PBE) data for a geometry-optimized CaIrSeN2 structure, as listed in Alexandria.

Structure (POSCAR):
```
CaIrSeN2
1.0
-0.026 2.727 -2.773
-3.068 -1.719 -1.662
-3.407 3.101 3.082
Ir Ca Se N
1 1 1 2
Cartesian
0.000 0.000 0.000
-3.250 2.055 -0.676
-1.703 1.551 1.541
-0.013 1.364 -1.386
-1.534 -0.859 -0.831
```

Values from the calculation:
energy relative to the lowest polymorph listed for this composition = 0 meV/atom

---

Record 4
First-principles (PBE) data for a geometry-optimized Ca2IrSeN structure, as listed in Alexandria.

Structure (POSCAR):
```
Ca2IrSeN
1.0
-1.359 0.652 5.316
-4.788 -2.606 -0.905
1.627 -3.274 0.817
Ir Ca N Se
1 2 1 1
Cartesian
0.000 0.000 0.000
-2.394 -1.303 -0.452
-0.679 0.326 2.658
0.814 -1.637 0.409
-2.260 -2.614 2.614
```

Values from the calculation:
energy relative to the lowest polymorph listed for this composition = 264 meV/atom

---

no.,M_tot (μB per formula unit),raw formation energy (eV per atom)
1,0.0,-0.45
2,0.4,1.72
3,0.0,0.05
4,0.0,-0.76